1.
Here is an optimized crystal structure of Bi4O5F2 from the Alexandria database. Energies are from PBEsol.

abc: 5.406 5.611 13.773
angles: 90.62 90.00 90.00
Fractional coordinates of all 22 atoms:
Bi 0.367 0.766 0.717
Bi 0.785 0.781 0.959
Bi 0.133 0.766 0.217
Bi 0.715 0.781 0.459
Bi 0.285 0.219 0.541
Bi 0.867 0.234 0.783
Bi 0.215 0.219 0.041
Bi 0.633 0.234 0.283
O 0.508 0.926 0.588
O 0.500 0.000 0.000
O 0.681 0.874 0.796
O 0.992 0.926 0.088
O 0.000 0.000 0.500
O 0.819 0.874 0.296
O 0.181 0.126 0.704
O 0.008 0.074 0.912
O 0.319 0.126 0.204
O 0.492 0.074 0.412
F 0.623 0.472 0.641
F 0.123 0.528 0.859
F 0.877 0.472 0.141
F 0.377 0.528 0.359

uncorrected formation energy	-16.07	eV per formula unit
total magnetization	0.00	μB per formula unit
calculated density	7.58	g/cm³
space group	P2_1/c, No. 14

***

2.
Here is an optimized crystal structure of BiOF from the Alexandria database. Energies are from PBEsol.

abc: 5.963 5.963 6.786
angles: 111.73 111.73 99.05
Fractional coordinates of all 12 atoms:
Bi 0.298 0.702 0.000
Bi 0.548 0.452 0.500
Bi 0.702 0.298 0.000
Bi 0.952 0.048 0.500
O 0.632 0.632 0.264
O 0.368 0.368 0.736
O 0.882 0.382 0.764
O 0.618 0.118 0.236
F 0.125 0.875 0.250
F 0.125 0.375 0.250
F 0.625 0.875 0.750
F 0.125 0.875 0.750

uncorrected formation energy	-5.26	eV per formula unit
total magnetization	0.00	μB per formula unit
calculated density	8.28	g/cm³
space group	Fddd, No. 70

***

3.
Here is an optimized crystal structure of BiOF from the Alexandria database. Energies are from PBEsol.

abc: 7.585 7.412 10.378
angles: 90.00 90.00 106.03
Fractional coordinates of all 36 atoms:
Bi 0.077 0.753 0.487
Bi 0.009 0.961 0.817
Bi 0.097 0.454 0.844
Bi 0.403 0.546 0.344
Bi 0.491 0.039 0.317
Bi 0.423 0.247 0.987
Bi 0.577 0.753 0.013
Bi 0.509 0.961 0.683
Bi 0.597 0.454 0.656
Bi 0.903 0.546 0.156
Bi 0.991 0.039 0.183
Bi 0.923 0.247 0.513
O 0.122 0.499 0.397
O 0.046 0.234 0.710
O 0.393 0.813 0.458
O 0.107 0.187 0.958
O 0.454 0.766 0.210
O 0.378 0.501 0.897
O 0.622 0.499 0.103
O 0.546 0.234 0.790
O 0.893 0.813 0.042
O 0.607 0.187 0.542
O 0.954 0.766 0.290
O 0.878 0.501 0.603
F 0.260 0.992 0.143
F 0.262 0.372 0.179
F 0.181 0.088 0.385
F 0.319 0.912 0.885
F 0.238 0.628 0.679
F 0.240 0.008 0.643
F 0.760 0.992 0.357
F 0.762 0.372 0.321
F 0.681 0.088 0.115
F 0.819 0.912 0.615
F 0.738 0.628 0.821
F 0.740 0.008 0.857

uncorrected formation energy	-5.34	eV per formula unit
total magnetization	0.00	μB per formula unit
calculated density	8.67	g/cm³
space group	P2_1/c, No. 14

***

4.
Here is an optimized crystal structure of BiO2F2 from the Alexandria database. Energies are from PBEsol.

abc: 4.150 4.150 4.290
angles: 90.00 90.00 90.00
Each line ends with the local moment (μB).
Fractional coordinates of all 5 atoms:
Bi 0.000 0.000 0.000  -0.02
O 0.000 0.500 0.000  0.33
O 0.500 0.000 0.000  0.33
F 0.500 0.500 0.500  0.60
F 0.000 0.000 0.500  0.00

uncorrected formation energy	-2.73	eV per formula unit
total magnetization	1.45	μB per formula unit
calculated density	6.27	g/cm³
space group	P4/mmm, No. 123

***

Repeat the first record exactly.
Here is an optimized crystal structure of Bi4O5F2 from the Alexandria database. Energies are from PBEsol.

abc: 5.406 5.611 13.773
angles: 90.62 90.00 90.00
Fractional coordinates of all 22 atoms:
Bi 0.367 0.766 0.717
Bi 0.785 0.781 0.959
Bi 0.133 0.766 0.217
Bi 0.715 0.781 0.459
Bi 0.285 0.219 0.541
Bi 0.867 0.234 0.783
Bi 0.215 0.219 0.041
Bi 0.633 0.234 0.283
O 0.508 0.926 0.588
O 0.500 0.000 0.000
O 0.681 0.874 0.796
O 0.992 0.926 0.088
O 0.000 0.000 0.500
O 0.819 0.874 0.296
O 0.181 0.126 0.704
O 0.008 0.074 0.912
O 0.319 0.126 0.204
O 0.492 0.074 0.412
F 0.623 0.472 0.641
F 0.123 0.528 0.859
F 0.877 0.472 0.141
F 0.377 0.528 0.359

uncorrected formation energy	-16.07	eV per formula unit
total magnetization	0.00	μB per formula unit
calculated density	7.58	g/cm³
space group	P2_1/c, No. 14

***

Q: Which value of total magnetization does entry 1 give?
A: 0.00 μB per formula unit

***

Q: Look up the uncorrected formation energy of the third one.
A: -5.34 eV per formula unit